The following is a DFT calculation (PBE) of a relaxed structure of SiAu2Br.

Uncorrected formation energy: 466 meV per atom
Theoretical density: 9.89 g/cm³
Symmetry: P4/mmm, No. 123
M_tot: 0.00 Bohr magnetons per cell

Cell: 5.4261 3.9412 3.9412 Å, 90.00 90.00 90.00°
Closest atoms and distances in Å follow each position.
Element x y z (fractional)
Au (0.0000, 0.5000, 0.5000)  4 Au 2.79
Au (0.0000, 0.0000, 0.0000)  4 Au 2.79
Br (0.5000, 0.5000, 0.0000)  4 Si 2.79
Si (0.5000, 0.0000, 0.5000)  4 Br 2.79